[1]
Density functional theory data (PBE) for a relaxed K2MgCl4 crystal.

Cell lengths 7.3666, 7.2200, 8.7803 Å; angles 90.00, 108.41, 90.00 degrees
Element x y z (fractional)
Cl  0.0712  0.7500  0.9264
K  0.2270  0.2500  0.4353
Mg  0.7452  0.2500  0.8011
K  0.7071  0.7500  0.0543
Cl  0.5243  0.4964  0.7456
Cl  0.4757  0.9964  0.2544
K  0.2929  0.2500  0.9457
Cl  0.9364  0.2500  0.6347
Cl  0.5243  0.0036  0.7456
Cl  0.0636  0.7500  0.3653
Mg  0.2548  0.7500  0.1989
K  0.7730  0.7500  0.5647
Cl  0.9288  0.2500  0.0736
Cl  0.4757  0.5036  0.2544

Summary:
**Volume**: 443.1 Å³/cell
**Total energy**: -3.5082 eV per atom

[2]
Density functional theory data (PBE) for a relaxed TaTePt4 crystal.

Cell lengths 5.3320, 5.3320, 5.3320 Å; angles 60.00, 60.00, 60.00 degrees
Element x y z (fractional)
Pt  0.3756  0.8733  0.3756
Ta  0.7500  0.7500  0.7500
Te  0.0000  0.0000  0.0000
Pt  0.3756  0.3756  0.8733
Pt  0.8733  0.3756  0.3756
Pt  0.3756  0.3756  0.3756

Summary:
**Volume**: 107.2 Å³/cell
**Total energy**: -6.4889 eV per atom